#one
{"formula": "H4AuNCl3", "functional": "PBE-GGA", "state": "relaxed", "cell": [[-4.380, 0.451, 3.164], [-1.941, -6.702, 1.046], [5.035, -1.788, 7.896]], "species": ["H", "H", "H", "H", "H", "H", "H", "H", "Cl", "Cl", "Cl", "Cl", "Cl", "Cl", "Au", "Au", "N", "N"], "frac_coords": [[0.427, 0.433, 0.911], [0.008, 0.559, 0.432], [0.688, 0.587, 0.437], [0.403, 0.631, 0.996], [0.851, 0.567, 0.589], [0.270, 0.441, 0.068], [0.875, 0.369, 0.504], [0.590, 0.413, 0.063], [0.322, 0.671, 0.318], [0.956, 0.329, 0.181], [0.858, 0.673, 0.801], [0.420, 0.327, 0.699], [0.859, 0.031, 0.531], [0.418, 0.969, 0.969], [0.639, 0.000, 0.750], [0.139, 0.000, 0.250], [0.422, 0.480, 0.009], [0.856, 0.520, 0.491]]}


#two
{"formula": "H4AuNCl3", "functional": "PBE-GGA", "state": "relaxed", "cell": [[-4.325, -1.171, 5.029], [6.450, -0.405, 6.223], [4.567, 13.035, -2.675]], "species": ["Cl", "Cl", "Cl", "Cl", "Cl", "Cl", "Cl", "Cl", "Cl", "Cl", "Cl", "Cl", "H", "H", "H", "H", "H", "H", "H", "H", "H", "H", "H", "H", "H", "H", "H", "H", "N", "N", "N", "N", "Au", "Au", "Au", "Au"], "frac_coords": [[0.345, 0.949, 0.279], [0.445, 0.946, 0.072], [0.662, 0.513, 0.641], [0.138, 0.505, 0.085], [0.888, 0.037, 0.815], [0.339, 0.797, 0.799], [0.810, 0.226, 0.356], [0.850, 0.667, 0.209], [0.774, 0.678, 0.421], [0.413, 0.078, 0.566], [0.148, 0.291, 0.657], [0.618, 0.243, 0.908], [0.361, 0.449, 0.484], [0.172, 0.487, 0.937], [0.235, 0.588, 0.851], [0.299, 0.399, 0.873], [0.018, 0.477, 0.797], [0.899, 0.937, 0.967], [0.839, 0.876, 0.516], [0.751, 0.997, 0.579], [0.035, 0.927, 0.642], [0.128, 0.523, 0.358], [0.750, 0.902, 0.033], [0.319, 0.387, 0.365], [0.132, 0.348, 0.408], [0.912, 0.054, 0.526], [0.036, 0.924, 0.108], [0.951, 0.770, 0.043], [0.236, 0.426, 0.405], [0.181, 0.487, 0.865], [0.907, 0.884, 0.037], [0.885, 0.964, 0.566], [0.605, 0.811, 0.246], [0.498, 0.657, 0.718], [0.475, 0.367, 0.223], [0.517, 0.164, 0.737]]}


What should be chosen as the least stable of them? Choose #two.


#one
{"formula": "PHAuCl2", "functional": "PBE-GGA", "state": "relaxed", "cell": [[-4.420, -1.231, -2.160], [0.566, -4.789, 1.571], [-1.546, 0.720, 2.753]], "species": ["H", "P", "Au", "Cl", "Cl"], "frac_coords": [[0.000, 0.000, 0.000], [0.000, 0.000, 0.500], [0.500, 0.500, 0.500], [0.000, 0.500, 0.000], [0.500, 0.000, 0.000]]}


#two
{"formula": "PHAuCl2", "functional": "PBE-GGA", "state": "relaxed", "cell": [[5.264, 0.000, 0.000], [0.000, 5.264, 0.000], [0.000, 0.000, 4.599]], "species": ["Cl", "Cl", "Au", "H", "P"], "frac_coords": [[0.000, 0.500, 0.000], [0.500, 0.000, 0.000], [0.000, 0.000, 0.000], [0.500, 0.500, 0.500], [0.000, 0.000, 0.500]]}


What should be chosen as the least stable of them? Choose #two.


#one
{"formula": "HAuSCl2", "functional": "PBE-GGA", "state": "relaxed", "cell": [[5.101, 0.000, 0.000], [0.000, 5.101, 0.000], [0.000, 0.000, 4.794]], "species": ["H", "Au", "S", "Cl", "Cl"], "frac_coords": [[0.500, 0.500, 0.500], [0.000, 0.000, 0.000], [0.000, 0.000, 0.500], [0.000, 0.500, 0.000], [0.500, 0.000, 0.000]]}


#two
{"formula": "HAuSCl2", "functional": "PBE-GGA", "state": "relaxed", "cell": [[5.201, 0.000, 0.000], [0.000, 5.201, 0.000], [0.000, 0.000, 3.185]], "species": ["Cl", "Cl", "Au", "S", "H"], "frac_coords": [[0.500, 0.000, 0.000], [0.000, 0.500, 0.000], [0.500, 0.500, 0.500], [0.000, 0.000, 0.500], [0.000, 0.000, 0.000]]}


What should be chosen as the least stable of them? Choose #one.


#one
{"formula": "HfAuCl2", "functional": "PBE-GGA", "state": "relaxed", "cell": [[-0.086, -2.928, 3.712], [-1.531, 1.548, 4.198], [-4.136, -1.521, 1.716]], "species": ["Cl", "Cl", "Au", "Hf"], "frac_coords": [[0.750, 0.750, 0.750], [0.250, 0.250, 0.250], [0.500, 0.500, 0.500], [0.000, 0.000, 0.000]]}


#two
{"formula": "HfAuCl2", "functional": "PBE-GGA", "state": "relaxed", "cell": [[-10.149, -5.134, -1.227], [-8.889, -7.154, 0.823], [-10.326, -4.559, 1.856]], "species": ["Hf", "Au", "Cl", "Cl"], "frac_coords": [[0.500, 0.500, 0.500], [0.000, 0.000, 0.000], [0.888, 0.888, 0.888], [0.112, 0.112, 0.112]]}


What should be chosen as the least stable of them? Choose #one.